--- P ---
Here is a relaxed CdSi2C crystal from the Alexandria database. Energies are from GGA-PBE.

Computed properties:
SG = No. 225
DOS(E_F) = 1.61 states/eV/cell

Structure (extended XYZ):
```
4
Lattice="0.834 -4.317 0.659 -3.177 -3.018 -0.754 0.330 -2.755 -3.473" Properties=species:S:1:pos:R:3 pbc="T T T"
Cd -1.007 -5.045 -1.784
C 0.000 0.000 0.000
Si -0.503 -2.523 -0.892
Si -1.510 -7.568 -2.676
```



--- Q ---
Here is a relaxed CdSi2C crystal from the Alexandria database. Energies are from GGA-PBE.

Computed properties:
SG = No. 122
DOS(E_F) = 0.45 states/eV/cell

Structure (extended XYZ):
```
8
Lattice="5.377 0.000 0.000 0.000 5.377 0.000 2.689 2.689 4.659" Properties=species:S:1:pos:R:3 pbc="T T T"
Si 3.469 1.344 1.165
Si 6.721 6.158 3.494
Si 4.033 4.596 3.494
Si 1.908 4.033 1.165
Cd 0.000 0.000 0.000
Cd 5.377 2.689 2.329
C 2.689 2.689 0.000
C 2.689 5.377 2.329
```



Of them, Q has the highest stability.